14
Lattice="-3.989 3.488 1.926 -4.042 -4.136 -0.880 3.835 -4.915 5.493" Properties=species:S:1:pos:R:3 comment="RbErCrO4, optimized geometry, DFT GGA+U" final_energy_ev_per_atom=-6.982 pbc="T T T"
O -4.756 -0.339 3.201
O 0.560 -5.225 3.338
O -1.422 -1.372 3.262
O -6.612 -2.238 2.797
O -2.773 -4.191 3.277
Er -4.403 -2.637 3.459
Cr -2.588 -3.998 1.519
Er 0.208 -2.926 3.081
O -3.792 -2.752 1.191
Cr -1.607 -1.565 5.020
O 2.416 -3.325 3.742
O -0.403 -2.811 5.348
Rb -1.791 -5.598 5.376
Rb -2.405 0.034 1.163